Compound: Zr2MoAs
Source: Alexandria via LeMat-Bulk
Functional: GGA-PBE
Structure: optimized geometry

Cell lengths 6.639, 6.639, 6.639 Å; angles 90.00, 90.00, 90.00 degrees
Space group F-43m (No. 216)
Unique sites:
Zr1 0.000 0.000 0.000 [4 per cell]
Zr2 0.250 0.250 0.250 [4 per cell]
Mo1 0.250 0.250 0.750 [4 per cell]
As1 0.000 0.000 0.500 [4 per cell]

Properties
As for the density of states at the Fermi level: 2.932 states/eV/f.u. The value obtained for the energy of formation from the pure elements is -0.07 eV/atom. The value obtained for the magnetization is 0.000 μB per atom.